## w
PmY4Er: relaxed, GGA-PBE.

POSCAR file:
```
PmY4Er
1.0
9.810 0.000 0.000
0.000 5.470 -1.477
0.000 -3.650 8.178
Pm Y Er
2 8 2
Direct
0.500 0.500 0.000
0.000 0.000 0.000
0.166 0.753 0.254
0.334 0.253 0.254
0.833 0.754 0.254
0.333 0.746 0.746
0.667 0.254 0.254
0.167 0.246 0.746
0.666 0.747 0.746
0.834 0.247 0.746
0.000 0.500 0.500
0.500 0.000 0.500
```

Values from the calculation:
space group	C2/m
mass density	5748	kg/m³



## x
PmY4Er: relaxed, GGA-PBE.

POSCAR file:
```
PmY4Er
1.0
-2.922 -1.000 -1.547
0.025 -4.950 3.151
-5.275 4.477 7.074
Pm Y Er
1 4 1
Direct
0.997 0.001 0.502
0.997 0.501 0.690
0.997 0.501 0.313
0.497 0.001 0.186
0.497 0.001 0.817
0.497 0.501 0.002
```

Values from the calculation:
space group	Pmmm
mass density	5530	kg/m³



Quick look at relative energies in meV/atom: w 0; x 126.



## w
Pm2Y5Er3: relaxed, GGA-PBE.

POSCAR file:
```
Pm2Y5Er3
1.0
6.797 0.000 0.000
3.399 11.519 2.916
3.399 5.868 10.332
Pm Y Er
4 10 6
Direct
0.121 0.779 0.980
0.879 0.221 0.020
0.621 0.980 0.779
0.379 0.020 0.221
0.250 0.500 0.500
0.750 0.500 0.500
0.497 0.753 0.753
0.003 0.247 0.247
0.503 0.247 0.247
0.997 0.753 0.753
0.128 0.463 0.282
0.872 0.537 0.718
0.628 0.282 0.463
0.372 0.718 0.537
0.250 0.000 0.000
0.750 0.000 0.000
0.377 0.372 0.874
0.623 0.628 0.126
0.877 0.874 0.372
0.123 0.126 0.628
```

Values from the calculation:
space group	Ibam
mass density	5928	kg/m³



## x
Pm2Y5Er3: relaxed, GGA-PBE.

POSCAR file:
```
Pm2Y5Er3
1.0
8.360 1.533 -3.878
0.241 8.477 -3.963
-1.667 -1.841 10.849
Pm Y Er
4 10 6
Direct
0.778 0.018 0.753
0.222 0.982 0.247
0.475 0.734 0.753
0.525 0.266 0.247
0.278 0.528 0.056
0.722 0.472 0.944
0.019 0.769 0.539
0.523 0.273 0.547
0.981 0.231 0.461
0.477 0.727 0.453
0.877 0.622 0.768
0.123 0.378 0.232
0.391 0.145 0.768
0.609 0.855 0.232
0.223 0.973 0.947
0.777 0.027 0.053
0.726 0.465 0.241
0.274 0.535 0.759
0.015 0.776 0.241
0.985 0.224 0.759
```

Values from the calculation:
space group	C2/c
mass density	6213	kg/m³



Quick look at relative energies in meV/atom: w 234; x 0.



## w
Pm2Y8Er3: relaxed, GGA-PBE.

POSCAR file:
```
Pm2Y8Er3
1.0
3.523 0.000 0.000
0.000 11.733 0.000
0.000 0.000 20.692
Pm Y Er
4 16 6
Direct
0.500 0.821 0.099
0.500 0.179 0.901
0.500 0.321 0.401
0.500 0.679 0.599
0.000 0.709 0.948
0.000 0.291 0.052
0.000 0.209 0.552
0.000 0.791 0.448
0.000 0.054 0.159
0.000 0.946 0.841
0.000 0.554 0.341
0.000 0.446 0.659
0.500 0.871 0.286
0.500 0.129 0.714
0.500 0.371 0.214
0.500 0.629 0.786
0.500 0.546 0.072
0.500 0.454 0.928
0.500 0.046 0.428
0.500 0.954 0.572
0.000 0.000 0.000
0.000 0.500 0.500
0.000 0.646 0.201
0.000 0.354 0.799
0.000 0.146 0.299
0.000 0.854 0.701
```

Values from the calculation:
space group	Pbam
mass density	5836	kg/m³



## x
Pm2Y8Er3: relaxed, GGA-PBE.

POSCAR file:
```
Pm2Y8Er3
1.0
5.552 0.000 0.738
0.000 7.605 0.000
-1.362 -3.802 10.225
Pm Y Er
2 8 3
Direct
0.499 0.241 0.482
0.501 0.759 0.518
0.000 0.665 0.329
0.000 0.335 0.671
0.000 0.131 0.262
0.000 0.869 0.738
0.500 0.607 0.788
0.500 0.181 0.788
0.500 0.819 0.212
0.500 0.393 0.212
0.500 0.000 0.000
0.000 0.283 0.000
0.000 0.717 0.000
```

Values from the calculation:
space group	C2/m
mass density	5681	kg/m³



Quick look at relative energies in meV/atom: w 0; x 96.



## w
Pm8Y6Er: relaxed, GGA-PBE.

POSCAR file:
```
Pm8Y6Er
1.0
-3.734 3.332 -7.661
-8.997 1.630 -0.371
-3.163 8.142 -0.383
Pm Y Er
8 6 1
Direct
0.249 0.283 0.580
0.717 0.112 0.420
0.112 0.751 0.420
0.577 0.577 0.268
0.423 0.423 0.732
0.888 0.249 0.580
0.283 0.888 0.580
0.751 0.717 0.420
0.460 0.903 0.882
0.097 0.245 0.118
0.245 0.540 0.118
0.755 0.460 0.882
0.903 0.755 0.882
0.540 0.097 0.118
0.000 0.000 0.000
```

Values from the calculation:
space group	R-3
mass density	6116	kg/m³



## x
Pm8Y6Er: relaxed, GGA-PBE.

POSCAR file:
```
Pm8Y6Er
1.0
6.587 0.000 0.000
0.000 8.170 -4.717
0.000 0.000 9.434
Pm Y Er
8 6 1
Direct
0.834 0.037 0.284
0.834 0.716 0.752
0.834 0.248 0.963
0.166 0.963 0.716
0.166 0.284 0.248
0.166 0.752 0.037
0.879 0.333 0.667
0.121 0.667 0.333
0.658 0.657 0.093
0.658 0.907 0.564
0.658 0.436 0.343
0.342 0.343 0.907
0.342 0.093 0.436
0.342 0.564 0.657
0.500 0.000 0.000
```

Values from the calculation:
space group	P-3
mass density	6086	kg/m³



Quick look at relative energies in meV/atom: w 0; x 52.



## w
Pm4Y3Er4: relaxed, GGA-PBE.

POSCAR file:
```
Pm4Y3Er4
1.0
-0.962 0.237 3.451
-1.328 -5.433 0.003
15.636 -6.700 6.686
Pm Y Er
4 3 4
Direct
0.552 0.552 0.896
0.448 0.448 0.104
0.322 0.823 0.355
0.678 0.177 0.645
0.146 0.646 0.708
0.854 0.354 0.292
0.000 0.000 0.000
0.092 0.092 0.815
0.265 0.265 0.470
0.735 0.735 0.530
0.908 0.908 0.185
```

Values from the calculation:
space group	Immm
mass density	6975	kg/m³



## x
Pm4Y3Er4: relaxed, GGA-PBE.

POSCAR file:
```
Pm4Y3Er4
1.0
-0.338 5.655 -0.419
-1.744 -3.365 -5.494
-10.012 -0.348 3.391
Pm Y Er
4 3 4
Direct
0.754 0.508 0.792
0.754 0.508 0.208
0.885 0.769 0.500
0.960 0.920 0.000
0.410 0.820 0.291
0.410 0.820 0.709
0.253 0.507 0.000
0.614 0.228 0.500
0.551 0.103 0.000
0.103 0.207 0.698
0.103 0.207 0.302
```

Values from the calculation:
space group	Amm2
mass density	6936	kg/m³



Quick look at relative energies in meV/atom: w 0; x 113.



## w
Pm4YEr: relaxed, GGA-PBE.

POSCAR file:
```
Pm4YEr
1.0
6.256 0.440 0.918
3.037 5.488 0.918
-0.836 -0.533 5.917
Pm Y Er
4 1 1
Direct
0.338 0.338 0.986
0.662 0.662 0.014
0.838 0.838 0.514
0.162 0.162 0.486
0.500 0.500 0.500
0.000 0.000 0.000
```

Values from the calculation:
space group	C2/m
mass density	6918	kg/m³



## x
Pm4YEr: relaxed, GGA-PBE.

POSCAR file:
```
Pm4YEr
1.0
-0.882 -0.009 -3.358
-0.324 -8.269 0.107
-7.997 0.356 2.100
Pm Y Er
4 1 1
Direct
0.500 0.259 0.741
0.000 0.762 0.762
0.000 0.238 0.238
0.500 0.741 0.259
0.000 0.500 0.500
0.500 0.000 0.000
```

Values from the calculation:
space group	Cmmm
mass density	5839	kg/m³



Quick look at relative energies in meV/atom: w 0; x 532.



## w
PmYEr2: relaxed, GGA-PBE.

POSCAR file:
```
PmYEr2
1.0
3.562 0.000 0.000
0.000 3.562 0.000
0.000 0.000 10.061
Y Pm Er
1 1 2
Direct
0.500 0.500 0.500
0.500 0.500 0.000
0.000 0.000 0.748
0.000 0.000 0.252
```

Values from the calculation:
space group	P4/mmm
mass density	7393	kg/m³



## x
PmYEr2: relaxed, GGA-PBE.

POSCAR file:
```
PmYEr2
1.0
3.549 0.000 0.000
-1.775 6.531 -0.211
0.000 -0.420 11.411
Pm Y Er
2 2 4
Direct
0.133 0.266 0.021
0.867 0.734 0.979
0.632 0.265 0.499
0.368 0.735 0.501
0.769 0.538 0.255
0.491 0.982 0.226
0.509 0.018 0.774
0.231 0.462 0.745
```

Values from the calculation:
space group	C2/m
mass density	7145	kg/m³



Quick look at relative energies in meV/atom: w 0; x 107.



## w
PmYEr2: relaxed, GGA-PBE.

POSCAR file:
```
PmYEr2
1.0
5.678 0.000 0.000
2.839 4.917 0.000
2.839 1.639 4.636
Y Pm Er
1 1 2
Direct
0.500 0.500 0.500
0.000 0.000 0.000
0.250 0.250 0.250
0.750 0.750 0.750
```

Values from the calculation:
space group	Fm-3m
mass density	7291	kg/m³



## x
PmYEr2: relaxed, GGA-PBE.

POSCAR file:
```
PmYEr2
1.0
3.584 0.000 0.000
1.792 3.104 0.000
1.792 1.035 11.504
Pm Y Er
1 1 2
Direct
0.501 0.501 0.498
0.666 0.666 0.001
0.082 0.082 0.753
0.251 0.251 0.248
```

Values from the calculation:
space group	R3m
mass density	7376	kg/m³



## y
PmYEr2: relaxed, GGA-PBE.

POSCAR file:
```
PmYEr2
1.0
-0.038 1.054 -4.912
3.240 -3.768 -0.833
-3.859 -3.174 -0.651
Y Pm Er
1 1 2
Direct
0.500 0.000 0.000
0.500 0.500 0.500
0.000 0.000 0.500
0.000 0.500 0.000
```

Values from the calculation:
space group	P4/mmm
mass density	7399	kg/m³



## z
PmYEr2: relaxed, GGA-PBE.

POSCAR file:
```
PmYEr2
1.0
-2.143 -0.380 -2.919
-0.591 -6.631 -0.971
-5.238 -3.688 2.056
Pm Y Er
1 1 2
Direct
0.250 0.168 0.332
0.750 0.666 0.834
0.000 0.082 0.917
0.500 0.583 0.418
```

Values from the calculation:
space group	Imm2
mass density	7288	kg/m³



Quick look at relative energies in meV/atom: w 112; x 6; y 11; z 0.



## w
PmYEr4: relaxed, GGA-PBE.

POSCAR file:
```
PmYEr4
1.0
3.331 -0.619 1.040
-3.395 9.595 -7.761
2.705 -6.626 11.729
Pm Y Er
1 1 4
Direct
0.500 0.000 0.500
0.000 0.000 0.000
0.833 0.667 0.500
0.167 0.333 0.500
0.338 0.669 0.000
0.662 0.331 0.000
```

Values from the calculation:
space group	P2/m
mass density	7960	kg/m³



## x
PmYEr4: relaxed, GGA-PBE.

POSCAR file:
```
PmYEr4
1.0
-2.101 -4.818 3.927
4.279 -4.308 2.484
1.438 0.123 6.400
Y Pm Er
1 1 4
Direct
0.000 0.000 0.000
0.250 0.250 0.250
0.625 0.625 0.124
0.625 0.124 0.625
0.625 0.625 0.625
0.124 0.625 0.625
```

Values from the calculation:
space group	F-43m
mass density	7509	kg/m³



Quick look at relative energies in meV/atom: w 0; x 240.



## w
PmY2Er: relaxed, GGA-PBE.

POSCAR file:
```
PmY2Er
1.0
-1.384 -3.145 -1.072
2.118 -2.462 -1.553
2.553 -6.419 9.489
Pm Y Er
1 2 1
Direct
0.500 0.500 0.499
0.082 0.082 0.754
0.251 0.251 0.246
0.666 0.666 0.001
```

Values from the calculation:
space group	R3m
mass density	6278	kg/m³



## x
PmY2Er: relaxed, GGA-PBE.

POSCAR file:
```
PmY2Er
1.0
5.060 0.000 0.000
0.000 5.053 0.000
0.000 0.000 5.053
Y Pm Er
2 1 1
Direct
0.000 0.000 0.500
0.000 0.500 0.000
0.500 0.500 0.500
0.500 0.000 0.000
```

Values from the calculation:
space group	P4/mmm
mass density	6298	kg/m³



Quick look at relative energies in meV/atom: w 0; x 7.